VASP calculation (PBE) on a geometry-optimized CeHoMnCu structure.

abc: 6.950 6.950 6.950
angles: 90.00 90.00 90.00
Space group F-43m (No. 216)
Inequivalent atoms, fractional coordinates:
Ce1 0.000 0.000 0.000 x4
Ho1 0.000 0.000 0.500 x4
Mn1 0.250 0.250 0.250 x4
Cu1 0.250 0.250 0.750 x4

VASP calculation (PBE) on a geometry-optimized BaPrAg2Sb2 structure.

Calculated values
Formation energy (no corrections): -0.725 eV per atom

abc: 4.8108 4.8108 8.7936
angles: 90.00 90.00 120.00
Space group P-3m1 (No. 164)
Inequivalent atoms, fractional coordinates:
Ba1 0.0000 0.0000 0.0000 x1
Pr1 0.0000 0.0000 0.5000 x1
Ag1 0.3333 0.6667 0.6991 x2
Sb1 0.3333 0.6667 0.2648 x2

VASP calculation (PBE) on a geometry-optimized Ca2NdPuAs4 structure.

abc: 7.280 4.251 7.322
angles: 90.00 109.77 90.00
Space group P2/m (No. 10)
Inequivalent atoms, fractional coordinates:
Ca1 0.000 0.000 0.000 x1
Ca2 0.000 0.500 0.500 x1
Nd1 0.500 0.000 0.500 x1
Pu1 0.500 0.500 0.000 x1
As1 0.262 0.500 0.241 x2
As2 0.268 0.000 0.766 x2

Computed uncorrected energy, in the same sequence as the records: -5.888, -4.167, -6.327 eV/atom.